DFT (PBE) results for an optimized crystal structure of Ac2SmIr2I2.

Summary:
The theoretical density is 8.44 g/cm³. The calculation puts the energy at -5.568 eV/atom. For the raw formation energy, the calculation gives -0.746 eV per atom.

```
Ac2SmIr2I2
1.0
-3.376 -2.406 3.306
4.089 -1.962 2.748
-0.395 9.233 2.064
Ir Ac Sm I
2 2 1 2
direct
0.000 0.500 0.000 Ir
0.500 0.000 0.000 Ir
0.605 0.605 0.210 Ac
0.395 0.395 0.790 Ac
0.000 0.000 0.000 Sm
0.809 0.809 0.618 I
0.191 0.191 0.382 I
```

=====

DFT (PBE) results for an optimized crystal structure of AcSmIrI.

Summary:
The theoretical density is 8.68 g/cm³. The calculation puts the energy at -5.811 eV/atom. For the raw formation energy, the calculation gives -1.001 eV per atom.

```
AcSmIrI
1.0
-1.511 3.269 -2.326
-1.821 -0.982 3.755
6.869 3.357 4.208
Ir Ac Sm I
1 1 1 1
direct
0.313 0.554 0.883 Ir
0.518 0.157 0.690 Ac
0.093 0.945 0.053 Sm
0.954 0.375 0.344 I
```

=====

DFT (PBE) results for an optimized crystal structure of Ac2TbIr2I2.

Summary:
The theoretical density is 8.68 g/cm³. The calculation puts the energy at -5.595 eV/atom. For the raw formation energy, the calculation gives -0.786 eV per atom.

```
Ac2TbIr2I2
1.0
-1.006 -0.871 -5.069
-4.364 -2.589 1.311
-1.840 9.167 1.499
Ac Tb I Ir
2 1 2 2
direct
0.605 0.605 0.211 Ac
0.395 0.395 0.789 Ac
0.000 0.000 0.000 Tb
0.190 0.190 0.379 I
0.810 0.810 0.621 I
0.000 0.500 0.000 Ir
0.500 0.000 0.000 Ir
```

=====

DFT (PBE) results for an optimized crystal structure of AcTbIrI.

Summary:
The theoretical density is 8.98 g/cm³. The calculation puts the energy at -5.788 eV/atom. For the raw formation energy, the calculation gives -1.001 eV per atom.

```
AcTbIrI
1.0
4.258 -0.001 0.000
-2.128 3.687 0.000
-2.129 -1.229 8.306
Tb Ac Ir I
1 1 1 1
direct
0.092 0.944 0.052 Tb
0.518 0.157 0.690 Ac
0.316 0.556 0.887 Ir
0.953 0.374 0.342 I
```

=====

DFT (PBE) results for an optimized crystal structure of Ac8TcIr3I4.

Summary:
The theoretical density is 8.65 g/cm³. The calculation puts the energy at -5.627 eV/atom. For the raw formation energy, the calculation gives -0.876 eV per atom.

```
Ac8TcIr3I4
1.0
8.774 0.000 0.000
0.000 9.971 0.833
-4.387 -4.389 6.209
I Ir Ac Tc
4 3 8 1
direct
0.500 0.000 0.000 I
0.500 0.000 0.500 I
0.000 0.000 0.500 I
0.000 0.000 0.000 I
0.500 0.500 0.000 Ir
0.500 0.500 0.500 Ir
0.000 0.500 0.500 Ir
0.273 0.318 0.546 Ac
0.774 0.315 0.042 Ac
0.227 0.685 0.453 Ac
0.268 0.315 0.042 Ac
0.773 0.315 0.547 Ac
0.226 0.685 0.958 Ac
0.732 0.685 0.958 Ac
0.727 0.682 0.454 Ac
0.000 0.500 0.000 Tc
```

=====

DFT (PBE) results for an optimized crystal structure of Ac8TeIr3I4.

Summary:
The theoretical density is 8.20 g/cm³. The calculation puts the energy at -5.356 eV/atom. For the raw formation energy, the calculation gives -1.056 eV per atom.

```
Ac8TeIr3I4
1.0
9.110 0.000 0.000
0.000 10.007 0.636
-4.555 -4.560 6.439
I Ac Ir Te
4 8 3 1
direct
0.500 0.000 0.500 I
0.500 0.000 0.000 I
0.000 0.000 0.000 I
0.000 0.000 0.500 I
0.699 0.689 0.944 Ac
0.245 0.689 0.490 Ac
0.301 0.311 0.056 Ac
0.245 0.689 0.944 Ac
0.272 0.316 0.544 Ac
0.728 0.684 0.456 Ac
0.755 0.311 0.510 Ac
0.755 0.311 0.056 Ac
0.500 0.500 0.000 Ir
0.500 0.500 0.500 Ir
0.000 0.500 0.500 Ir
0.000 0.500 0.000 Te
```

=====

DFT (PBE) results for an optimized crystal structure of AcThIrI.

Summary:
The theoretical density is 9.45 g/cm³. The calculation puts the energy at -6.484 eV/atom. For the raw formation energy, the calculation gives -0.999 eV per atom.

```
AcThIrI
1.0
-3.417 2.206 -1.414
1.585 -3.248 -2.341
-3.425 -5.817 5.754
Ir Th I Ac
1 1 1 1
direct
0.317 0.556 0.888 Ir
0.088 0.942 0.045 Th
0.959 0.378 0.351 I
0.515 0.155 0.685 Ac
```

=====

DFT (PBE) results for an optimized crystal structure of Ac6Tl2IrI3.

Summary:
The theoretical density is 8.12 g/cm³. The calculation puts the energy at -4.341 eV/atom. For the raw formation energy, the calculation gives -0.766 eV per atom.

```
Ac6Tl2IrI3
1.0
-0.030 -5.522 5.938
6.797 4.290 -1.074
-4.906 6.065 3.709
Ac I Tl Ir
6 3 2 1
direct
0.369 0.065 0.198 Ac
0.631 0.935 0.802 Ac
0.777 0.777 0.219 Ac
0.065 0.369 0.198 Ac
0.935 0.631 0.802 Ac
0.223 0.223 0.781 Ac
0.816 0.184 0.500 I
0.184 0.816 0.500 I
0.500 0.500 0.500 I
0.342 0.658 0.000 Tl
0.658 0.342 0.000 Tl
0.000 0.000 0.000 Ir
```